A plane-wave DFT calculation with GGA-PBE was carried out for a relaxed Er2Al9Rh3 crystal.

POSCAR file:
```
Er2Al9Rh3
1.0
-4.659 -0.246 5.905
-1.953 -3.458 -6.393
4.210 -7.910 2.992
Er Al Rh
4 18 6
Cartesian
-2.793 -8.502 3.824
-1.918 -9.540 -0.149
0.391 -3.112 -1.319
-0.483 -2.074 2.653
2.326 -7.397 4.744
1.765 -5.714 -0.419
-4.728 -4.217 -2.239
-2.329 -4.370 -0.819
-0.073 -7.244 3.323
-2.900 -3.693 1.774
-0.311 -4.783 1.181
-4.711 -5.206 0.323
-4.167 -5.900 2.924
-3.260 -6.976 -1.195
-2.091 -6.831 1.324
0.498 -7.921 0.731
3.233 -8.473 0.624
2.309 -6.408 2.182
0.858 -4.638 3.700
-5.635 -3.141 1.880
-1.985 -1.637 -0.009
-0.417 -9.977 2.514
-2.840 -2.405 -2.362
-1.667 -5.254 3.370
2.105 -3.955 1.496
-3.772 -1.299 1.874
0.000 0.000 0.000
-0.735 -6.360 -0.866
```

- calculated total energy (eV per atom) = -5.46
- symmetry = Cmcm, No. 63
- magnetic moment (Bohr magnetons per cell) = 0.00
- Fermi-level density of states (states/eV/atom) = 0.45
- calculated formation energy (kJ/mol of formula units) = -1122

A plane-wave DFT calculation with GGA-PBE was carried out for a relaxed ErAlRh crystal.

POSCAR file:
```
ErAlRh
1.0
-1.455 1.115 2.629
0.792 -2.677 1.574
4.989 3.098 -0.507
Er Rh Al
1 1 1
Cartesian
0.110 0.054 0.038
1.408 0.084 2.697
2.809 1.397 0.962
```

- calculated total energy (eV per atom) = -5.97
- symmetry = I4mm, No. 107
- magnetic moment (Bohr magnetons per cell) = 0.00
- Fermi-level density of states (states/eV/atom) = 0.71
- calculated formation energy (kJ/mol of formula units) = -216

A plane-wave DFT calculation with GGA-PBE was carried out for a relaxed Er2Al6Rh crystal.

POSCAR file:
```
Er2Al6Rh
1.0
5.894 -0.030 -0.017
0.029 5.743 0.006
0.029 2.866 4.977
Rh Al Er
1 6 2
Cartesian
0.000 0.000 0.000
1.907 5.732 1.710
4.046 2.848 3.256
1.907 4.338 4.118
4.046 4.242 0.847
1.922 7.121 4.121
4.031 1.459 0.844
5.148 5.714 3.307
0.805 2.866 1.659
```

- calculated total energy (eV per atom) = -4.88
- symmetry = P-3m1, No. 164
- magnetic moment (Bohr magnetons per cell) = 0.00
- Fermi-level density of states (states/eV/atom) = 0.76
- calculated formation energy (kJ/mol of formula units) = -478

A plane-wave DFT calculation with GGA-PBE was carried out for a relaxed ErAlRh crystal.

POSCAR file:
```
ErAlRh
1.0
-2.030 0.753 3.060
-3.066 -2.018 0.759
1.264 -3.866 4.086
Er Rh Al
1 1 1
Cartesian
-0.485 -4.229 5.311
0.203 -2.632 3.079
-2.155 -2.287 3.725
```

- calculated total energy (eV per atom) = -5.70
- symmetry = R3m, No. 160
- magnetic moment (Bohr magnetons per cell) = 0.00
- Fermi-level density of states (states/eV/atom) = 0.69
- calculated formation energy (kJ/mol of formula units) = -139

A plane-wave DFT calculation with GGA-PBE was carried out for a relaxed Er6AlRh crystal.

POSCAR file:
```
Er6AlRh
1.0
6.541 0.657 0.000
2.228 6.380 0.000
1.114 3.190 5.704
Er Rh Al
6 1 1
Cartesian
4.390 8.009 3.484
6.607 5.408 3.484
6.442 5.166 0.000
5.493 2.218 2.219
3.276 4.819 2.219
2.327 1.870 0.000
4.385 3.518 0.000
0.000 0.000 0.000
```

- calculated total energy (eV per atom) = -4.92
- symmetry = C2/m, No. 12
- magnetic moment (Bohr magnetons per cell) = 0.00
- Fermi-level density of states (states/eV/atom) = 1.16
- calculated formation energy (kJ/mol of formula units) = -85

A plane-wave DFT calculation with GGA-PBE was carried out for a relaxed ErAlRh crystal.

POSCAR file:
```
ErAlRh
1.0
-1.343 1.909 2.692
-3.334 -2.801 0.324
3.650 -0.676 2.299
Al Er Rh
1 1 1
Cartesian
-0.224 0.318 0.448
-1.901 -0.820 2.777
1.098 -1.066 2.090
```

- calculated total energy (eV per atom) = -5.97
- symmetry = P-6m2, No. 187
- magnetic moment (Bohr magnetons per cell) = 0.00
- Fermi-level density of states (states/eV/atom) = 1.00
- calculated formation energy (kJ/mol of formula units) = -217

A plane-wave DFT calculation with GGA-PBE was carried out for a relaxed Er4AlRh2 crystal.

POSCAR file:
```
Er4AlRh2
1.0
8.180 -1.950 -0.202
-2.518 8.025 0.137
-2.775 -3.159 5.450
Er Rh Al
8 4 2
Cartesian
1.337 2.435 1.452
4.743 3.198 0.504
-0.005 -2.096 3.931
3.675 -2.611 4.066
-0.453 2.411 4.958
-1.524 0.594 2.261
4.157 0.870 3.205
2.111 -1.194 1.185
1.219 0.448 3.389
3.113 4.155 2.526
-2.875 1.199 5.335
4.544 0.231 0.607
-1.254 3.785 2.146
2.708 2.907 4.771
```

- calculated total energy (eV per atom) = -5.87
- symmetry = P1, No. 1
- magnetic moment (Bohr magnetons per cell) = 0.00
- Fermi-level density of states (states/eV/atom) = 0.79
- calculated formation energy (kJ/mol of formula units) = -421

A plane-wave DFT calculation with GGA-PBE was carried out for a relaxed Er3Al5Rh12 crystal.

POSCAR file:
```
Er3Al5Rh12
1.0
12.664 0.000 0.000
-4.221 11.940 0.000
-4.221 -5.970 10.340
Rh Al Er
48 20 12
Cartesian
2.944 5.053 4.255
2.549 7.500 0.819
4.660 -1.475 9.425
5.893 6.025 1.735
1.672 -1.530 9.521
-0.505 0.705 2.248
1.672 1.475 9.425
2.549 4.495 0.915
2.000 7.889 4.351
4.726 5.265 8.092
1.278 0.917 6.085
1.606 4.580 6.905
7.610 -4.143 9.007
-1.278 4.143 9.007
6.443 10.697 0.514
7.938 0.685 4.656
5.054 -0.917 6.085
5.499 1.827 1.333
-0.439 4.440 0.819
0.505 7.360 6.905
2.222 -1.919 5.989
-0.833 6.887 4.255
6.837 -0.705 2.248
4.110 1.919 5.989
3.716 -1.390 3.435
-2.222 2.809 6.503
8.332 1.243 0.514
-4.332 8.778 3.837
0.111 4.051 4.351
9.276 2.744 2.922
-2.616 6.675 8.092
2.616 1.390 3.435
8.554 -2.809 6.503
6.443 3.161 3.837
-5.054 3.226 7.419
-4.660 0.055 8.606
-0.439 7.444 0.915
5.827 6.655 5.684
8.881 5.914 1.735
-2.222 -4.727 9.826
-3.388 10.113 1.333
-3.716 5.285 5.684
-1.672 -0.055 8.606
5.499 9.196 2.922
-1.606 -0.685 4.656
4.660 1.530 9.521
-1.278 -3.226 7.419
-4.110 4.727 9.826
5.277 5.224 3.878
4.221 5.970 0.000
-1.055 2.985 2.585
5.277 2.985 7.755
-2.111 -2.985 5.170
-3.166 6.716 3.878
7.387 -0.746 6.463
0.000 0.000 0.000
-1.055 9.701 1.293
3.166 2.239 1.293
-2.111 5.970 0.000
6.332 0.000 0.000
1.055 -2.985 7.755
-4.221 2.985 5.170
3.166 8.955 2.585
2.111 2.985 5.170
1.055 3.731 9.048
5.277 -3.731 9.048
4.221 -2.985 5.170
-1.055 0.746 6.463
3.166 6.716 6.463
1.055 -0.746 3.878
-5.277 5.970 7.755
5.277 0.746 3.878
3.166 0.000 7.755
-1.055 5.224 6.463
7.387 3.731 1.293
-3.166 2.239 9.048
-3.166 -2.239 9.048
7.387 8.209 1.293
1.055 5.970 2.585
9.498 0.000 2.585
```

- calculated total energy (eV per atom) = -6.03
- symmetry = Ia-3d, No. 230
- magnetic moment (Bohr magnetons per cell) = 0.00
- Fermi-level density of states (states/eV/atom) = 0.74
- calculated formation energy (kJ/mol of formula units) = 8

A plane-wave DFT calculation with GGA-PBE was carried out for a relaxed Er4Al12Rh crystal.

POSCAR file:
```
Er4Al12Rh
1.0
7.020 0.000 -2.482
-3.510 6.079 -2.482
0.000 0.000 7.446
Al Rh Er
12 1 4
Cartesian
0.877 4.559 -1.241
-2.501 4.333 3.538
4.387 1.520 1.241
2.017 0.000 1.426
2.632 1.520 3.723
-0.877 4.559 1.241
3.510 3.040 -1.241
-1.008 1.747 1.426
5.003 0.000 3.538
1.008 1.747 -1.426
0.000 3.040 3.723
2.501 4.333 -3.538
0.000 0.000 0.000
3.510 0.000 -1.241
1.755 3.040 1.241
0.000 0.000 3.723
-1.755 3.040 -1.241
```

- calculated total energy (eV per atom) = -4.69
- symmetry = Im-3m, No. 229
- magnetic moment (Bohr magnetons per cell) = 0.00
- Fermi-level density of states (states/eV/atom) = 0.53
- calculated formation energy (kJ/mol of formula units) = -886

A plane-wave DFT calculation with GGA-PBE was carried out for a relaxed Er2Al3Rh crystal.

POSCAR file:
```
Er2Al3Rh
1.0
-5.388 -0.705 -0.618
3.439 -4.061 -1.265
2.178 0.314 4.931
Al Rh Er
3 1 2
Cartesian
1.089 0.157 2.466
-1.605 -0.195 2.157
0.114 -2.226 1.524
0.000 0.000 0.000
2.708 -2.443 3.378
-2.479 -2.009 -0.330
```

- calculated total energy (eV per atom) = -5.33
- symmetry = R-3m, No. 166
- magnetic moment (Bohr magnetons per cell) = 0.00
- Fermi-level density of states (states/eV/atom) = 0.62
- calculated formation energy (kJ/mol of formula units) = -413

A plane-wave DFT calculation with GGA-PBE was carried out for a relaxed ErAl10Rh2 crystal.

POSCAR file:
```
ErAl10Rh2
1.0
6.831 0.081 0.000
-0.931 6.768 0.000
0.000 0.000 9.145
Al Er Rh
20 2 4
Cartesian
5.650 1.099 0.930
5.304 4.086 6.859
0.595 2.762 2.286
1.300 1.509 4.572
2.644 0.998 6.859
4.599 5.339 0.000
5.650 1.099 3.643
2.002 4.241 4.101
1.300 1.509 0.000
1.086 3.266 6.859
3.070 1.557 2.286
4.814 3.582 2.286
4.599 5.339 4.572
2.830 5.291 6.859
3.256 5.851 2.286
2.002 4.241 0.472
0.250 5.750 5.502
0.250 5.750 8.215
3.898 2.608 8.673
3.898 2.608 5.044
5.837 0.937 6.859
0.062 5.912 2.286
-0.466 3.384 4.572
3.415 0.040 0.000
-0.466 3.384 0.000
3.415 0.040 4.572
```

- calculated total energy (eV per atom) = -4.92
- symmetry = Cmcm, No. 63
- magnetic moment (Bohr magnetons per cell) = 0.00
- Fermi-level density of states (states/eV/atom) = 0.25
- calculated formation energy (kJ/mol of formula units) = -696

A plane-wave DFT calculation with GGA-PBE was carried out for a relaxed Er3Al3Rh2 crystal.

POSCAR file:
```
Er3Al3Rh2
1.0
-3.611 -4.299 0.244
2.810 -1.970 6.887
-10.265 9.005 6.765
Er Al Rh
12 12 8
Cartesian
-3.891 -1.086 4.124
-11.225 5.353 6.401
-7.994 0.590 8.019
-7.674 5.886 6.266
-3.391 -3.149 7.629
-2.719 -0.091 9.390
0.160 -2.616 7.494
-3.071 2.147 5.876
-0.193 -0.378 3.979
-7.174 3.823 9.771
-8.346 2.828 4.504
-10.872 3.115 9.916
-1.281 -5.226 6.178
-1.561 -2.903 2.659
-5.997 0.989 5.583
-2.511 1.392 2.919
-5.068 1.748 8.312
-9.504 5.640 11.236
-8.554 1.345 10.976
-5.717 -1.334 9.102
-9.784 7.964 7.717
-2.043 -0.709 6.425
-5.348 4.072 4.793
-9.022 3.446 7.470
-6.803 -0.459 3.697
-9.413 5.690 8.715
-1.652 -2.953 5.179
-6.526 3.158 6.813
-4.539 -0.421 7.082
-7.148 5.728 12.101
-3.917 -2.991 1.794
-4.262 3.196 10.198
```

- calculated total energy (eV per atom) = -5.71
- symmetry = Pnma, No. 62
- magnetic moment (Bohr magnetons per cell) = 0.00
- Fermi-level density of states (states/eV/atom) = 0.70
- calculated formation energy (kJ/mol of formula units) = -581

A plane-wave DFT calculation with GGA-PBE was carried out for a relaxed ErAlRuRh crystal.

POSCAR file:
```
ErAlRuRh
1.0
4.523 0.000 0.000
2.262 3.917 0.000
2.262 1.306 3.693
Al Ru Rh Er
1 1 1 1
Cartesian
0.000 0.000 0.000
6.785 3.917 2.770
2.262 1.306 0.923
4.523 2.612 1.847
```

- calculated total energy (eV per atom) = -6.93
- symmetry = F-43m, No. 216
- magnetic moment (Bohr magnetons per cell) = 0.00
- Fermi-level density of states (states/eV/atom) = 0.61
- calculated formation energy (kJ/mol of formula units) = -271

A plane-wave DFT calculation with GGA-PBE was carried out for a relaxed ErScAlRh crystal.

POSCAR file:
```
ErScAlRh
1.0
-2.391 1.891 -3.737
0.832 -1.622 -4.465
-3.355 -2.605 -2.283
Al Rh Sc Er
1 1 1 1
Cartesian
-2.457 -1.168 -5.243
0.000 0.000 0.000
-1.229 -0.584 -2.621
-3.686 -1.752 -7.864
```

- calculated total energy (eV per atom) = -6.11
- symmetry = F-43m, No. 216
- magnetic moment (Bohr magnetons per cell) = 0.00
- Fermi-level density of states (states/eV/atom) = 0.62
- calculated formation energy (kJ/mol of formula units) = -237

A plane-wave DFT calculation with GGA-PBE was carried out for a relaxed ErAlSi2Rh crystal.

POSCAR file:
```
ErAlSi2Rh
1.0
-4.355 2.898 1.730
0.013 -2.864 4.830
3.353 3.725 2.200
Al Rh Si Er
2 2 4 2
Cartesian
-2.694 -0.348 4.697
-1.648 0.383 1.863
0.000 0.000 0.000
0.007 -1.432 2.415
-0.199 -0.348 4.690
-2.274 2.460 3.097
-0.791 4.108 4.070
1.285 1.300 5.663
0.682 1.811 2.704
-1.671 1.949 6.056
```

- calculated total energy (eV per atom) = -6.00
- energy relative to the elements, uncorrected (kJ/mol of formula units) = -338
- symmetry = Pmma, No. 51
- magnetic moment (Bohr magnetons per cell) = 0.00
- Fermi-level density of states (states/eV/atom) = 0.42

A plane-wave DFT calculation with GGA-PBE was carried out for a relaxed Er2AlSi4Rh3 crystal.

POSCAR file:
```
Er2AlSi4Rh3
1.0
4.030 0.000 0.000
0.000 4.030 0.000
0.000 0.000 10.302
Rh Er Si Al
3 2 4 1
Cartesian
2.015 0.000 9.013
0.000 0.000 5.151
0.000 2.015 1.289
2.015 0.000 2.509
0.000 2.015 7.793
2.015 0.000 6.663
0.000 2.015 3.639
0.000 0.000 0.000
2.015 2.015 0.000
2.015 2.015 5.151
```

- calculated total energy (eV per atom) = -6.59
- energy relative to the elements, uncorrected (kJ/mol of formula units) = -891
- symmetry = P-4m2, No. 115
- magnetic moment (Bohr magnetons per cell) = 0.00
- Fermi-level density of states (states/eV/atom) = 0.50

A plane-wave DFT calculation with GGA-PBE was carried out for a relaxed Er2Al2SiRh5 crystal.

POSCAR file:
```
Er2Al2SiRh5
1.0
3.350 0.000 0.000
0.000 9.837 0.000
0.000 0.000 9.837
Si Rh Er Al
2 10 4 4
Cartesian
0.000 4.918 4.918
0.000 0.000 0.000
1.675 2.980 5.548
1.675 5.548 6.857
1.675 0.000 4.918
1.675 0.630 7.898
1.675 9.206 1.938
1.675 7.898 9.206
1.675 4.918 0.000
1.675 6.857 4.288
1.675 1.938 0.630
1.675 4.288 2.980
0.000 1.699 3.220
0.000 3.220 8.138
0.000 6.617 1.699
0.000 8.138 6.617
0.000 1.250 6.168
0.000 8.587 3.669
0.000 3.669 1.250
0.000 6.168 8.587
```

- calculated total energy (eV per atom) = -6.76
- energy relative to the elements, uncorrected (kJ/mol of formula units) = -851
- symmetry = P4/mbm, No. 127
- magnetic moment (Bohr magnetons per cell) = 0.00
- Fermi-level density of states (states/eV/atom) = 0.23